Below is a geometry-optimized InCo2Sn2 structure, with properties calculated at the GGA-PBE level.

V in Å³/atom: 19.29
Uncorrected energy in eV per cell: -23.4
Energy of formation in eV/atom: 0.30
ΔE to the lowest computed polymorph in meV per atom: 181
Total magnetic moment in μB/f.u.: 1.099

Cell: 4.1535 4.1535 6.3156 Å, 70.80 70.80 90.00°
Last column: magnetic moment on the atom in μB.
Fractional coordinates of all 5 atoms:
1 Sn 0.2500 0.7500 0.5000  -0.04
2 Sn 0.7500 0.2500 0.5000  -0.04
3 Co 0.3950 0.3950 0.2100  0.58
4 Co 0.6050 0.6050 0.7900  0.58
5 In 0.0000 0.0000 0.0000  0.02

=====

Below is a geometry-optimized InCoSn structure, with properties calculated at the GGA-PBE level.

V in Å³/atom: 20.08
Uncorrected energy in eV per cell: -26.8
Energy of formation in eV/atom: 0.14
Total magnetic moment in μB/f.u.: 0.788

Cell: 5.3446 5.4584 5.4583 Å, 74.53 60.46 60.46°
Last column: magnetic moment on the atom in μB.
Fractional coordinates of all 6 atoms:
1 Co 0.9610 0.2676 0.9545  0.85
2 Co 0.4610 0.2676 0.9545  0.85
3 Sn 0.7105 0.6023 0.6207  -0.01
4 Sn 0.2105 0.9337 0.2893  -0.01
5 In 0.4608 0.2680 0.4545  -0.02
6 In 0.9608 0.7676 0.9550  -0.02

=====

Below is a geometry-optimized In2CoSn structure, with properties calculated at the GGA-PBE level.

V in Å³/atom: 23.95
Uncorrected energy in eV per cell: -14.3
Energy of formation in eV/atom: 0.58
Total magnetic moment in μB/f.u.: 1.808

Cell: 3.1527 3.1527 11.2755 Å, 81.96 81.96 60.00°
Last column: magnetic moment on the atom in μB.
Fractional coordinates of all 4 atoms:
1 In 0.0777 0.0777 0.7669  0.01
2 In 0.9223 0.9223 0.2331  0.01
3 Sn 0.5000 0.5000 0.5000  0.04
4 Co 0.0000 0.0000 0.0000  1.77

=====

Below is a geometry-optimized InCoSn structure, with properties calculated at the GGA-PBE level.

V in Å³/atom: 18.54
Uncorrected energy in eV per cell: -55.7
Energy of formation in eV/atom: -0.02
Total magnetic moment in μB/f.u.: 0.000

Cell: 5.1944 5.4523 9.3032 Å, 82.36 73.79 61.55°
Fractional coordinates of all 12 atoms:
1 Sn 0.5849 0.0000 0.8302
2 Sn 0.4151 0.0000 0.1698
3 Sn 0.1651 0.5000 0.6698
4 Sn 0.3349 0.5000 0.3302
5 Co 0.6223 0.5000 0.7553
6 Co 0.1277 0.0000 0.7447
7 Co 0.8723 0.0000 0.2553
8 Co 0.8777 0.5000 0.2447
9 In 0.9095 0.1810 0.5000
10 In 0.8405 0.3190 0.0000
11 In 0.5905 0.8190 0.5000
12 In 0.1595 0.6810 0.0000